1.
DFT (PBE-GGA) results for a relaxed structure of LiCe2Pr3S6.

Computed properties:
crystal system = monoclinic

```
data_LiCe2Pr3S6
_cell_length_a 6.999
_cell_length_b 6.999
_cell_length_c 7.018
_cell_angle_alpha 99.62
_cell_angle_beta 99.62
_cell_angle_gamma 120.12
_symmetry_space_group_name_H-M 'P 1'
_symmetry_Int_Tables_number 1
_symmetry_space_group_name_Hall 'P 1'
loop_
_atom_site_label
_atom_site_type_symbol
_atom_site_fract_x
_atom_site_fract_y
_atom_site_fract_z
Li1 Li 0.000 0.000 0.000
Ce1 Ce 0.334 0.666 0.000
Ce2 Ce 0.666 0.334 0.000
Pr1 Pr 0.166 0.834 0.500
Pr2 Pr 0.500 0.500 0.500
Pr3 Pr 0.834 0.166 0.500
S1 S 0.079 0.406 0.239
S2 S 0.247 0.247 0.762
S3 S 0.406 0.079 0.239
S4 S 0.594 0.921 0.761
S5 S 0.753 0.753 0.238
S6 S 0.921 0.594 0.761
```

***

2.
DFT (PBE-GGA) results for a relaxed structure of Nb3TlSe.

Computed properties:
distance to the lowest polymorph of the same formula = 0.000 eV per atom
crystal system = cubic

```
data_Nb3TlSe
_cell_length_a 4.791
_cell_length_b 4.791
_cell_length_c 4.791
_cell_angle_alpha 90.00
_cell_angle_beta 90.00
_cell_angle_gamma 90.00
_symmetry_space_group_name_H-M 'P 1'
_symmetry_Int_Tables_number 1
_symmetry_space_group_name_Hall 'P 1'
loop_
_atom_site_label
_atom_site_type_symbol
_atom_site_fract_x
_atom_site_fract_y
_atom_site_fract_z
Nb1 Nb 0.000 0.000 0.500
Nb2 Nb 0.000 0.500 0.000
Nb3 Nb 0.500 0.000 0.000
Tl1 Tl 0.500 0.500 0.500
Se1 Se 0.000 0.000 0.000
```

***

Number 1: volume 23.3 Å³ per atom, total DFT energy (no corrections) -6.35 eV per atom. Number 2: volume 22.0 Å³ per atom, total DFT energy (no corrections) -6.60 eV per atom.